# 1
This record from the Alexandria database describes a relaxed structure of ReTeAsBr2. The functional is PBE.

Values from the calculation:
- crystal system = tetragonal
- relative energy among the computed polymorphs (eV per formula unit) = 0.00
- total magnetization (μB per cell) = 0.5
- raw formation energy (eV per atom) = 0.639
- SG = P4/mmm

```
ReTeAsBr2
1.0
5.037 0.000 0.000
0.000 5.037 0.000
0.000 0.000 4.941
Br Te As Re
2 1 1 1
Cartesian
2.518 0.000 0.000 Br
0.000 2.518 0.000 Br
2.518 2.518 2.470 Te
0.000 0.000 2.470 As
0.000 0.000 0.000 Re
```


# 2
This record from the Alexandria database describes a relaxed structure of Tb3Zn. The functional is PBE.

Values from the calculation:
- formation energy from the elements (eV/atom) = 0.055
- crystal system = cubic
- total magnetization (μB per cell) = 0.0
- SG = Fm-3m

```
Tb3Zn
1.0
5.344 0.000 0.000
2.672 4.628 0.000
2.672 1.543 4.363
Tb Zn
3 1
Cartesian
2.672 1.543 1.091 Tb
8.015 4.628 3.272 Tb
0.000 0.000 0.000 Tb
5.344 3.085 2.181 Zn
```


# 3
This record from the Alexandria database describes a relaxed structure of Cs3Rb8Na2. The functional is PBE.

Values from the calculation:
- formation energy from the elements (eV/atom) = 0.027
- crystal system = triclinic
- total magnetization (μB per cell) = 0.0
- SG = P-1

```
Cs3Rb8Na2
1.0
-5.120 -2.701 4.449
7.722 -2.577 7.313
0.797 12.122 8.262
Rb Cs Na
8 3 2
Cartesian
-1.714 2.576 5.576 Rb
6.467 1.121 8.111 Rb
1.724 -0.490 7.669 Rb
1.675 7.335 12.354 Rb
2.053 8.425 7.463 Rb
5.512 5.538 9.691 Rb
5.113 4.269 14.447 Rb
-2.113 1.306 10.332 Rb
-2.560 -1.350 2.224 Cs
6.355 9.332 12.958 Cs
-2.956 -2.487 7.065 Cs
2.907 2.293 10.715 Na
0.492 4.552 9.308 Na
```


# 4
This record from the Alexandria database describes a relaxed structure of NbGe2F. The functional is PBE.

Values from the calculation:
- crystal system = cubic
- relative energy among the computed polymorphs (eV per formula unit) = 0.75
- total magnetization (μB per cell) = 0.0
- raw formation energy (eV per atom) = -0.044
- SG = Fm-3m

```
NbGe2F
1.0
0.000 3.209 3.209
3.209 0.000 3.209
3.209 3.209 0.000
Nb Ge F
1 2 1
Cartesian
3.209 3.209 3.209 Nb
1.604 1.604 1.604 Ge
4.813 4.813 4.813 Ge
0.000 0.000 0.000 F
```


# 5
This record from the Alexandria database describes a relaxed structure of Tb4Nd5Er4. The functional is PBE.

Values from the calculation:
- formation energy from the elements (eV/atom) = 0.019
- crystal system = tetragonal
- total magnetization (μB per cell) = 0.0
- SG = I4/m

```
Tb4Nd5Er4
1.0
-4.077 -2.976 -0.421
-0.846 -4.344 8.416
-7.344 5.357 2.790
Er Tb Nd
4 4 5
Cartesian
-6.110 -1.260 7.137 Er
-9.221 -1.067 5.420 Er
-6.157 -0.702 3.648 Er
-3.047 -0.896 5.365 Er
-4.029 -3.549 3.157 Tb
-8.239 1.587 7.627 Tb
-7.073 -4.443 8.485 Tb
-5.194 2.481 2.299 Tb
-9.177 -1.624 8.939 Nd
-3.090 -0.338 1.845 Nd
-3.996 -4.090 6.662 Nd
-8.271 2.127 4.122 Nd
0.000 0.000 0.000 Nd
```


# 6
This record from the Alexandria database describes a relaxed structure of TaCo2Br. The functional is PBE.

Values from the calculation:
- crystal system = tetragonal
- relative energy among the computed polymorphs (eV per formula unit) = 2.45
- total magnetization (μB per cell) = 0.0
- raw formation energy (eV per atom) = 0.756
- SG = I-42d

```
TaCo2Br
1.0
-3.170 4.222 2.138
-1.023 -3.124 4.652
1.768 2.393 5.483
Co Br Ta
4 2 2
Cartesian
-0.612 -0.802 4.558 Co
-1.649 2.822 3.276 Co
-0.252 2.188 6.686 Co
-2.337 2.774 10.027 Co
-2.097 0.549 3.395 Br
-0.676 -0.091 6.765 Br
-1.749 3.582 5.509 Ta
0.000 0.000 0.000 Ta
```


# 7
This record from the Alexandria database describes a relaxed structure of YZr2Mo. The functional is PBE.

Values from the calculation:
- formation energy from the elements (eV/atom) = 0.157
- crystal system = orthorhombic
- relative energy among the computed polymorphs (eV per formula unit) = 0.35
- total magnetization (μB per cell) = 0.0
- SG = Cmmm

```
YZr2Mo
1.0
-1.607 -2.717 -0.431
2.818 0.068 -1.485
4.324 -3.832 8.026
Y Zr Mo
1 2 1
Cartesian
3.848 -4.198 5.061 Y
1.981 -1.755 3.677 Zr
0.181 -0.161 0.336 Zr
1.686 -2.282 1.048 Mo
```


# 8
This record from the Alexandria database describes a relaxed structure of ZnMo2P. The functional is PBE.

Values from the calculation:
- formation energy from the elements (eV/atom) = 0.188
- crystal system = orthorhombic
- relative energy among the computed polymorphs (eV per formula unit) = 1.00
- total magnetization (μB per cell) = 0.0
- SG = Pmmm

```
ZnMo2P
1.0
3.319 0.000 0.000
0.000 3.979 0.000
0.000 0.000 4.442
P Mo Zn
1 2 1
Cartesian
1.659 1.990 0.000 P
1.659 0.000 2.221 Mo
0.000 0.000 0.000 Mo
0.000 1.990 2.221 Zn
```


# 9
This record from the Alexandria database describes a relaxed structure of CaSnGeAu. The functional is PBE.

Values from the calculation:
- formation energy from the elements (eV/atom) = -0.336
- crystal system = cubic
- total magnetization (μB per cell) = 0.0
- SG = F-43m

```
CaSnGeAu
1.0
5.067 0.000 0.000
2.533 4.388 0.000
2.533 1.463 4.137
Sn Ca Au Ge
1 1 1 1
Cartesian
5.067 2.925 2.069 Sn
0.000 0.000 0.000 Ca
7.600 4.388 3.103 Au
2.533 1.463 1.034 Ge
```


# 10
This record from the Alexandria database describes a relaxed structure of LaNdPd6. The functional is PBE.

Values from the calculation:
- formation energy from the elements (eV/atom) = -0.777
- crystal system = tetragonal
- total magnetization (μB per cell) = 0.0
- SG = P4/mmm

```
LaNdPd6
1.0
-1.276 0.106 4.021
0.760 -4.136 0.350
7.890 1.657 2.460
Pd Nd La
6 1 1
Cartesian
-0.258 -2.015 2.185 Pd
1.325 0.465 2.622 Pd
5.290 1.298 3.859 Pd
6.308 -0.823 2.023 Pd
3.687 -1.187 3.415 Pd
2.342 -1.656 0.787 Pd
0.000 0.000 0.000 Nd
3.945 0.828 1.230 La
```


# 11
This record from the Alexandria database describes a relaxed structure of Na2VBPt. The functional is PBE.

Values from the calculation:
- formation energy from the elements (eV/atom) = 0.866
- crystal system = tetragonal
- total magnetization (μB per cell) = 1.0
- SG = P4/mmm

```
Na2VBPt
1.0
-2.611 4.006 -0.715
-1.132 -1.386 -3.627
-3.838 -2.142 2.016
B Na V Pt
1 2 1 1
Cartesian
0.000 0.000 0.000 B
-1.919 -1.071 1.008 Na
-1.306 2.003 -0.358 Na
-3.791 0.239 -1.163 V
-0.566 -0.693 -1.814 Pt
```


# 12
This record from the Alexandria database describes a relaxed structure of Hf2PaO6. The functional is PBE.

Values from the calculation:
- crystal system = trigonal
- total magnetization (μB per cell) = 1.0
- raw formation energy (eV per atom) = -3.447
- SG = P-31m

```
Hf2PaO6
1.0
4.875 0.000 0.000
0.000 4.723 -2.727
0.000 0.000 5.454
Hf O Pa
2 6 1
Cartesian
2.438 1.574 2.727 Hf
2.438 3.149 0.000 Hf
1.331 3.077 3.677 O
3.545 3.077 1.776 O
1.331 4.723 0.826 O
3.545 1.646 -0.951 O
1.331 1.646 0.951 O
3.545 0.000 1.901 O
0.000 0.000 0.000 Pa
```